Record 1
## ZnCuPb (PBE)

Data for a geometry-optimized ZnCuPb structure.

abc: 9.690 9.690 3.831
angles: 90.00 90.00 160.11
Fractional positions:
Zn 0.056 0.944 0.750
Zn 0.944 0.056 0.250
Cu 0.451 0.549 0.750
Cu 0.549 0.451 0.250
Pb 0.180 0.820 0.250
Pb 0.820 0.180 0.750

ρ, g/cm3: 9.12
Formation energy, eV per atom: 0.07
Total DFT energy (no corrections), eV per atom: -2.96
Space-group type: Cmcm (63)
Energy relative to the lowest polymorph listed for this composition, meV/atom: 0.0
Magnetic moment, Bohr magnetons per cell: 0.0

=====

Record 2
## Be3ZnGe (PBE)

Data for a geometry-optimized Be3ZnGe structure.

abc: 4.177 4.177 4.177
angles: 90.00 90.00 90.00
Fractional positions:
Be 0.000 0.000 0.500
Be 0.000 0.500 0.000
Be 0.500 0.000 0.000
Zn 0.000 0.000 0.000
Ge 0.500 0.500 0.500

ρ, g/cm3: 3.76
Formation energy, eV per atom: 0.87
Total DFT energy (no corrections), eV per atom: -2.55
Space-group type: Pm-3m (221)
Energy relative to the lowest polymorph listed for this composition, meV/atom: 0.0
Magnetic moment, Bohr magnetons per cell: 0.0